[1]
The following is a DFT calculation (PBE) of an optimized crystal structure of Tm2ZnSi4Rh3.

```
10
Lattice="-1.911 -3.571 0.098 3.244 -1.781 -1.648 3.733 -1.745 9.232" Properties=species:S:1:pos:R:3 pbc="T T T"
Rh 2.305 -3.310 8.113
Rh 2.094 -1.111 0.344
Rh 1.866 -0.872 4.616
Tm -0.044 -2.212 2.303
Tm 4.443 -2.209 6.153
Si 0.667 -2.676 -0.775
Si 0.000 0.000 0.000
Si 2.962 -1.517 2.490
Si 1.437 -2.904 5.967
Zn 2.533 -3.548 3.841
```

Output
The calculation puts the total DFT energy (no corrections) at -6.26 eV/atom. Its energy relative to the elements, uncorrected is -8.7 eV/f.u.

=====

[2]
The following is a DFT calculation (PBE) of an optimized crystal structure of USiRh2.

```
4
Lattice="-2.370 -1.214 -1.189 -0.250 -1.769 2.305 -4.268 5.015 3.387" Properties=species:S:1:pos:R:3 pbc="T T T"
Si -1.310 -1.492 0.558
U -3.444 1.016 2.251
Rh -0.825 0.969 0.655
Rh -3.443 4.046 2.732
```

Output
The calculation puts the total DFT energy (no corrections) at -8.40 eV/atom. Its energy relative to the elements, uncorrected is -2.2 eV/f.u.

=====

Values for DOS at the Fermi energy, states/eV/f.u., ordered as above
5.78, 6.68
Values for spin magnetization, μB per atom, ordered as above
0.0000, 0.4784